(1)
The following is a DFT calculation (PBE-GGA) of a geometry-optimized SrAcDy structure.

ΔE_f ... 0.12 eV/atom
Size of the total moment ... 0.00 μB/f.u.
E ... -3.35 eV/atom
DOS at the Fermi energy ... 1.29 states/eV/atom
Theoretical density ... 6.3 g/cm3

Cell and atoms, written as POSCAR:
```
SrAcDy
1.0
3.8995 0.0000 0.0000
-1.9497 3.3770 0.0000
0.0000 0.0000 9.5820
Sr Ac Dy
1 1 1
Direct
0.0000 0.0000 0.0000
0.3333 0.6667 0.6322
0.6667 0.3333 0.3318
```

---

(2)
The following is a DFT calculation (PBE-GGA) of a geometry-optimized SrAcDy structure.

ΔE_f ... 0.11 eV/atom
Size of the total moment ... 0.00 μB/f.u.
E ... -3.36 eV/atom
DOS at the Fermi energy ... 1.39 states/eV/atom
Theoretical density ... 6.2 g/cm3

Cell and atoms, written as POSCAR:
```
SrAcDy
1.0
-1.9607 1.9607 8.2451
1.9607 -1.9607 8.2451
1.9607 1.9607 -8.2451
Sr Ac Dy
1 1 1
Direct
0.0000 0.0000 0.0000
0.6870 0.6870 0.0000
0.3315 0.3315 0.0000
```

---

(3)
The following is a DFT calculation (PBE-GGA) of a geometry-optimized SrAc4Dy structure.

ΔE_f ... 0.05 eV/atom
Size of the total moment ... 0.00 μB/f.u.
E ... -3.73 eV/atom
DOS at the Fermi energy ... 1.73 states/eV/atom
Theoretical density ... 7.3 g/cm3

Cell and atoms, written as POSCAR:
```
SrAc4Dy
1.0
3.9915 0.0000 0.0000
0.0000 3.9915 0.0000
0.0000 0.0000 16.4986
Sr Ac Dy
1 4 1
Direct
0.0000 0.0000 0.0000
0.0000 0.0000 0.3510
0.0000 0.0000 0.6490
0.5000 0.5000 0.1874
0.5000 0.5000 0.8126
0.5000 0.5000 0.5000
```

---

(4)
The following is a DFT calculation (PBE-GGA) of a geometry-optimized SrAcDy2 structure.

ΔE_f ... 0.16 eV/atom
Size of the total moment ... 0.00 μB/f.u.
E ... -3.59 eV/atom
DOS at the Fermi energy ... 2.04 states/eV/atom
Theoretical density ... 6.8 g/cm3

Cell and atoms, written as POSCAR:
```
SrAcDy2
1.0
3.8343 0.0000 0.0000
0.0000 3.8343 0.0000
0.0000 0.0000 10.6527
Sr Ac Dy
1 1 2
Direct
0.0000 0.0000 0.0000
0.0000 0.0000 0.5000
0.5000 0.5000 0.2674
0.5000 0.5000 0.7326
```

---

(5)
The following is a DFT calculation (PBE-GGA) of a geometry-optimized Sr2AcDy structure.

ΔE_f ... 0.32 eV/atom
Size of the total moment ... 0.66 μB/f.u.
E ... -2.70 eV/atom
DOS at the Fermi energy ... 1.41 states/eV/atom
Theoretical density ... 5.3 g/cm3

Cell and atoms, written as POSCAR:
```
Sr2AcDy
1.0
1.9237 1.1107 13.9296
-1.9237 1.1107 13.9296
0.0000 -2.2213 13.9296
Sr Ac Dy
2 1 1
Direct
0.0850 0.0850 0.0850
0.9150 0.9150 0.9150
0.5000 0.5000 0.5000
0.0000 0.0000 0.0000
```

---

(6)
The following is a DFT calculation (PBE-GGA) of a geometry-optimized SrAcDy2 structure.

ΔE_f ... 0.19 eV/atom
Size of the total moment ... 0.00 μB/f.u.
E ... -3.56 eV/atom
DOS at the Fermi energy ... 1.85 states/eV/atom
Theoretical density ... 6.9 g/cm3

Cell and atoms, written as POSCAR:
```
SrAcDy2
1.0
5.3814 0.0000 0.0000
0.0000 5.3814 0.0000
0.0000 0.0000 5.3342
Sr Ac Dy
1 1 2
Direct
0.0000 0.0000 0.0000
0.5000 0.5000 0.0000
0.0000 0.5000 0.5000
0.5000 0.0000 0.5000
```

---

(7)
The following is a DFT calculation (PBE-GGA) of a geometry-optimized SrAc14Dy structure.

ΔE_f ... 0.04 eV/atom
Size of the total moment ... 0.00 μB/f.u.
E ... -3.95 eV/atom
DOS at the Fermi energy ... 1.73 states/eV/atom
Theoretical density ... 8.0 g/cm3

Cell and atoms, written as POSCAR:
```
SrAc14Dy
1.0
7.9719 0.0000 0.0000
0.0000 7.9719 0.0000
0.0000 0.0000 11.2183
Sr Ac Dy
1 14 1
Direct
0.0000 0.0000 0.0000
0.0000 0.0000 0.5000
0.0000 0.5000 0.0000
0.0000 0.5000 0.5000
0.2552 0.2552 0.2493
0.2552 0.2552 0.7507
0.2552 0.7448 0.2493
0.2552 0.7448 0.7507
0.5000 0.0000 0.0000
0.5000 0.0000 0.5000
0.5000 0.5000 0.5000
0.7448 0.2552 0.2493
0.7448 0.2552 0.7507
0.7448 0.7448 0.2493
0.7448 0.7448 0.7507
0.5000 0.5000 0.0000
```

---

(8)
The following is a DFT calculation (PBE-GGA) of a geometry-optimized SrAcDy structure.

ΔE_f ... 0.15 eV/atom
Size of the total moment ... 0.00 μB/f.u.
E ... -3.32 eV/atom
DOS at the Fermi energy ... 1.66 states/eV/atom
Theoretical density ... 6.2 g/cm3

Cell and atoms, written as POSCAR:
```
SrAcDy
1.0
3.8879 0.0000 0.0000
-1.9439 3.3670 0.0000
0.0000 0.0000 19.5174
Sr Ac Dy
2 2 2
Direct
0.0000 0.0000 0.0999
0.0000 0.0000 0.9001
0.3333 0.6667 0.5873
0.6667 0.3333 0.4127
0.3333 0.6667 0.2622
0.6667 0.3333 0.7378
```

---

(9)
The following is a DFT calculation (PBE-GGA) of a geometry-optimized SrAc6Dy2 structure.

ΔE_f ... 0.48 eV/atom
Size of the total moment ... 0.00 μB/f.u.
E ... -3.47 eV/atom
DOS at the Fermi energy ... 1.41 states/eV/atom
Theoretical density ... 6.2 g/cm3

Cell and atoms, written as POSCAR:
```
SrAc6Dy2
1.0
6.6674 0.0000 0.0000
-3.3337 5.7742 0.0000
0.0000 0.0000 12.3146
Sr Ac Dy
1 6 2
Direct
0.0000 0.0000 0.0000
0.0000 0.3299 0.2731
0.0000 0.6701 0.7269
0.3299 0.0000 0.2731
0.3299 0.3299 0.7269
0.6701 0.0000 0.7269
0.6701 0.6701 0.2731
0.3333 0.6667 0.5000
0.6667 0.3333 0.5000
```

---

(10)
The following is a DFT calculation (PBE-GGA) of a geometry-optimized Sr3Ac2DyTe6 structure.

Size of the total moment ... 0.00 μB/f.u.
E ... -4.61 eV/atom
Raw formation energy ... -35.69 kcal/mol of atoms
DOS at the Fermi energy ... 0.43 states/eV/atom
Theoretical density ... 6.3 g/cm3

Cell and atoms, written as POSCAR:
```
Sr3Ac2DyTe6
1.0
10.2180 -2.3156 0.0000
10.2180 2.3156 0.0000
-2.3337 0.0000 9.1213
Sr Ac Dy Te
3 2 1 6
Direct
0.0000 0.0000 0.0000
0.3302 0.3302 0.6645
0.6698 0.6698 0.3355
0.3337 0.3337 0.1661
0.6663 0.6663 0.8339
0.0000 0.0000 0.5000
0.1594 0.1594 0.5761
0.1650 0.1650 0.0878
0.4976 0.4976 0.7316
0.5024 0.5024 0.2684
0.8350 0.8350 0.9122
0.8406 0.8406 0.4239
```

---

(11)
The following is a DFT calculation (PBE-GGA) of a geometry-optimized Sr3Ac3DyTe8 structure.

Size of the total moment ... 0.00 μB/f.u.
E ... -4.73 eV/atom
Raw formation energy ... -36.54 kcal/mol of atoms
DOS at the Fermi energy ... 0.35 states/eV/atom
Theoretical density ... 6.0 g/cm3

Cell and atoms, written as POSCAR:
```
Sr3Ac3DyTe8
1.0
4.6846 2.7047 7.7592
-4.6846 2.7047 7.7592
0.0000 -5.4094 7.7592
Sr Ac Dy Te
3 3 1 8
Direct
0.0000 0.5000 0.5000
0.5000 0.0000 0.5000
0.5000 0.5000 0.0000
0.0000 0.0000 0.5000
0.0000 0.5000 0.0000
0.5000 0.0000 0.0000
0.5000 0.5000 0.5000
0.2514 0.2514 0.2514
0.2626 0.2626 0.7368
0.2626 0.7368 0.2626
0.2632 0.7374 0.7374
0.7368 0.2626 0.2626
0.7374 0.2632 0.7374
0.7374 0.7374 0.2632
0.7486 0.7486 0.7486
```

---

(12)
The following is a DFT calculation (PBE-GGA) of a geometry-optimized AcTbDy3 structure.

ΔE_f ... 0.06 eV/atom
Size of the total moment ... 0.00 μB/f.u.
E ... -4.45 eV/atom
DOS at the Fermi energy ... 1.53 states/eV/atom
Theoretical density ... 8.5 g/cm3

Cell and atoms, written as POSCAR:
```
AcTbDy3
1.0
7.7825 -6.7263 0.0000
7.7825 6.7263 0.0000
-1.5865 0.0000 6.5206
Ac Tb Dy
4 4 12
Direct
0.0277 0.1791 0.4569
0.1791 0.0277 0.9569
0.8209 0.9723 0.0431
0.9723 0.8209 0.5431
0.3219 0.6781 0.7500
0.4215 0.5785 0.2500
0.5785 0.4215 0.7500
0.6781 0.3219 0.2500
0.0911 0.7038 0.0464
0.1180 0.4850 0.3505
0.2265 0.3824 0.8588
0.2962 0.9089 0.4536
0.3824 0.2265 0.3588
0.4850 0.1180 0.8505
0.5150 0.8820 0.1495
0.6176 0.7735 0.6412
0.7038 0.0911 0.5464
0.7735 0.6176 0.1412
0.8820 0.5150 0.6495
0.9089 0.2962 0.9536
```